This record from Alexandria via LeMat-Bulk describes a geometry-optimized Na5Eu3Te12 structure. The functional is PBE.

Summary:
formation energy from raw total energies: -0.675 eV per atom
energy: -4.431 eV/atom
calculated volume: 3429 Å³/cell
ρ: 4.1 g/cm³

Cell: 16.4543 16.4543 16.4543 Å, 109.47 109.47 109.47°
Sites, in units of the cell vectors:
Na (0.0000, 0.0000, 0.0000)
Na (0.0000, 0.0000, 0.5000)
Na (0.0000, 0.5000, 0.0000)
Na (0.0000, 0.5000, 0.5000)
Na (0.1250, 0.7500, 0.8750)
Na (0.1250, 0.8750, 0.2500)
Na (0.2500, 0.1250, 0.8750)
Na (0.2500, 0.6250, 0.3750)
Na (0.3750, 0.2500, 0.6250)
Na (0.3750, 0.6250, 0.7500)
Na (0.5000, 0.0000, 0.0000)
Na (0.5000, 0.0000, 0.5000)
Na (0.5000, 0.5000, 0.0000)
Na (0.5000, 0.5000, 0.5000)
Na (0.6250, 0.3750, 0.2500)
Na (0.6250, 0.7500, 0.3750)
Na (0.7500, 0.3750, 0.6250)
Na (0.7500, 0.8750, 0.1250)
Na (0.8750, 0.1250, 0.7500)
Na (0.8750, 0.2500, 0.1250)
Eu (0.1250, 0.2500, 0.3750)
Eu (0.1250, 0.3750, 0.7500)
Eu (0.2500, 0.3750, 0.1250)
Eu (0.2500, 0.8750, 0.6250)
Eu (0.3750, 0.1250, 0.2500)
Eu (0.3750, 0.7500, 0.1250)
Eu (0.6250, 0.2500, 0.8750)
Eu (0.6250, 0.8750, 0.7500)
Eu (0.7500, 0.1250, 0.3750)
Eu (0.7500, 0.6250, 0.8750)
Eu (0.8750, 0.6250, 0.2500)
Eu (0.8750, 0.7500, 0.6250)
Te (0.0736, 0.2657, 0.1576)
Te (0.0736, 0.3079, 0.9160)
Te (0.0840, 0.6576, 0.3918)
Te (0.0840, 0.9264, 0.6921)
Te (0.1082, 0.7657, 0.6921)
Te (0.1082, 0.8424, 0.4160)
Te (0.1576, 0.0736, 0.2657)
Te (0.1576, 0.5840, 0.8918)
Te (0.1921, 0.2657, 0.6082)
Te (0.1921, 0.4264, 0.5840)
Te (0.2343, 0.3079, 0.8918)
Te (0.2343, 0.4264, 0.3424)
Te (0.2657, 0.1576, 0.0736)
Te (0.2657, 0.6082, 0.1921)
Te (0.3079, 0.8918, 0.2343)
Te (0.3079, 0.9160, 0.0736)
Te (0.3424, 0.2343, 0.4264)
Te (0.3424, 0.6082, 0.9160)
Te (0.3918, 0.0840, 0.6576)
Te (0.3918, 0.8079, 0.7343)
Te (0.4160, 0.1082, 0.8424)
Te (0.4160, 0.8079, 0.5736)
Te (0.4264, 0.3424, 0.2343)
Te (0.4264, 0.5840, 0.1921)
Te (0.5736, 0.4160, 0.8079)
Te (0.5736, 0.6576, 0.7657)
Te (0.5840, 0.1921, 0.4264)
Te (0.5840, 0.8918, 0.1576)
Te (0.6082, 0.1921, 0.2657)
Te (0.6082, 0.9160, 0.3424)
Te (0.6576, 0.3918, 0.0840)
Te (0.6576, 0.7657, 0.5736)
Te (0.6921, 0.0840, 0.9264)
Te (0.6921, 0.1082, 0.7657)
Te (0.7343, 0.3918, 0.8079)
Te (0.7343, 0.8424, 0.9264)
Te (0.7657, 0.5736, 0.6576)
Te (0.7657, 0.6921, 0.1082)
Te (0.8079, 0.5736, 0.4160)
Te (0.8079, 0.7343, 0.3918)
Te (0.8424, 0.4160, 0.1082)
Te (0.8424, 0.9264, 0.7343)
Te (0.8918, 0.1576, 0.5840)
Te (0.8918, 0.2343, 0.3079)
Te (0.9160, 0.0736, 0.3079)
Te (0.9160, 0.3424, 0.6082)
Te (0.9264, 0.6921, 0.0840)
Te (0.9264, 0.7343, 0.8424)